18
Lattice="-2.6430 -0.4307 -3.4292 6.7200 -1.8390 -4.9484 -0.9596 -8.3024 1.7823" Properties=species:S:1:pos:R:3 comment="Mg2AlAg6 PBE-GGA relaxed" ef_ev_per_fu=-1.378 n_ef_per_ev_cell=4.7 de_polymorph_mev_per_atom=0 sg="No. 136" final_energy_ev_per_atom=-2.824 pbc="T T T"
Ag 3.4221 -8.3620 -1.5875
Mg 4.4859 -2.9019 -3.0932
Ag -1.1135 -8.6223 -0.8189
Ag 4.2309 -1.9498 -5.7764
Ag 1.8906 -3.9195 -3.7251
Mg 3.4174 -7.4690 -4.4563
Ag -0.3047 -2.2101 -5.0078
Al 2.0385 -1.1348 -4.1888
Ag 4.1522 -4.8563 -5.3507
Mg -0.3000 -3.1031 -2.1390
Al -0.4798 -4.1512 0.8912
Ag 5.7551 -8.6825 -3.3452
Ag -1.0348 -5.7158 -1.2446
Ag 1.2268 -6.6526 -2.8702
Ag -2.6376 -1.8896 -3.2501
Mg -1.3685 -7.6701 -3.5021
Ag -0.8821 -4.9801 -4.2149
Ag 3.9995 -5.5920 -2.3804

***

20
Lattice="7.0772 0.6640 0.9966 -1.3301 6.9827 0.9966 -1.3301 -1.7697 6.8279" Properties=species:S:1:pos:R:3 comment="LiGa12Ag7 PBE-GGA relaxed" ef_ev_per_fu=0.528 n_ef_per_ev_cell=5.4 sg="No. 148" final_energy_ev_per_atom=-2.883 pbc="T T T"
Ga 1.8505 1.5223 6.6643
Ag 4.6173 5.4234 5.9660
Ag 0.4914 2.6604 1.0386
Ag 2.4189 0.4917 1.5183
Ga -0.4128 2.5524 4.8494
Ag -0.2003 0.4536 2.8552
Ga 2.5665 4.3547 2.1568
Ag 1.9982 5.3853 7.3028
Ga 3.4693 0.5745 4.2233
Ga 5.0969 0.9919 6.2293
Ga 4.8815 2.1203 1.6491
Li 0.0000 0.0000 0.0000
Ag 2.2085 2.9385 4.4106
Ga 3.7377 6.3882 3.3146
Ga 4.8298 3.3246 3.9717
Ga 0.9477 5.3025 4.5979
Ga 0.6793 -0.5112 5.5065
Ga -0.6799 4.8851 2.5919
Ga -0.4645 3.7567 7.1720
Ag 3.9256 3.2166 7.7826

***

5
Lattice="5.7312 0.0000 0.0000 0.0000 5.7312 0.0000 0.0000 0.0000 5.7312" Properties=species:S:1:pos:R:3 comment="RbMoAu3 PBE-GGA relaxed" ef_ev_per_fu=9.571 n_ef_per_ev_cell=3.2 de_polymorph_mev_per_atom=1391 sg="No. 221" final_energy_ev_per_atom=-2.412 pbc="T T T"
Rb 0.0000 0.0000 0.0000
Au 2.8656 0.0000 0.0000
Mo 2.8656 2.8656 2.8656
Au 0.0000 2.8656 0.0000
Au 0.0000 0.0000 2.8656

***

4
Lattice="3.9421 0.0000 0.0000 1.9710 3.4139 0.0000 1.9710 1.1380 9.4765" Properties=species:S:1:pos:R:3 comment="NpPdI2 PBE-GGA relaxed" n_ef_per_ev_cell=11.3 sg="No. 166" e_form_raw_ev_per_atom=0.27 final_energy_ev_per_atom=-5.036 pbc="T T T"
Np 0.0000 0.0000 0.0000
I 5.9131 3.4139 2.9968
I 1.9710 1.1380 6.4797
Pd 3.9421 2.2760 4.7383